# 1
VASP calculation (PBE-GGA) on an optimized crystal structure of Ti2FeCo.

a b c (Å): 2.9687 2.9687 5.9160
angles (deg): 90.00 90.00 90.00
Last column: nearest neighbours and their distance in Å.
Space group P4/mmm (No. 123)
Symmetry-distinct sites (fractional):
Ti (0.0000, 0.0000, 0.2476) x2  4 Fe 2.56, 4 Co 2.58
Fe (0.5000, 0.5000, 0.0000) x1  8 Ti 2.56
Co (0.5000, 0.5000, 0.5000) x1  8 Ti 2.58

Properties
Crystal system: tetragonal
Formation energy: -395.5 meV per atom
Total magnetic moment: 0.59 Bohr magnetons per cell

***

# 2
VASP calculation (PBE-GGA) on an optimized crystal structure of Be2CrIr.

a b c (Å): 2.6365 2.6365 23.2619
angles (deg): 90.00 90.00 120.00
Last column: nearest neighbours and their distance in Å.
Space group R3m (No. 160, hexagonal axes)
Symmetry-distinct sites (fractional):
Be (0.0000, 0.0000, 0.0000) x3  9 Be 2.42-2.64, 3 Ir 2.45
Be (0.0000, 0.0000, 0.2525) x3  9 Be 2.42-2.64, 3 Cr 2.44
Cr (0.0000, 0.0000, 0.5036) x3  3 Be 2.44, 3 Ir 2.55, 6 Cr 2.64
Ir (0.0000, 0.0000, 0.7489) x3  3 Be 2.45, 3 Cr 2.55, 6 Ir 2.64

Properties
Crystal system: trigonal
Formation energy: 143.4 meV per atom
Total magnetic moment: 0.00 Bohr magnetons per cell

***

# 3
VASP calculation (PBE-GGA) on an optimized crystal structure of CoCuSe2N.

a b c (Å): 4.9614 4.9614 3.4958
angles (deg): 90.00 90.00 90.00
Last column: nearest neighbours and their distance in Å.
Space group P4/mmm (No. 123)
Symmetry-distinct sites (fractional):
Co (0.0000, 0.0000, 0.0000) x1  8 Se 3.03
Cu (0.5000, 0.5000, 0.5000) x1  2 N 1.75
Se (0.0000, 0.5000, 0.5000) x2  2 Cu 2.48
N (0.5000, 0.5000, 0.0000) x1  2 Cu 1.75

Properties
E_form (uncorrected): 1.119 eV per atom
ΔE to the lowest computed polymorph: 626 meV per atom
Crystal system: tetragonal
Total magnetic moment: 3.49 Bohr magnetons per cell

***

# 4
VASP calculation (PBE-GGA) on an optimized crystal structure of ErTh2Ni.

a b c (Å): 3.5752 3.5752 31.0659
angles (deg): 90.00 90.00 120.00
Last column: nearest neighbours and their distance in Å.
Space group R-3m (No. 166, hexagonal axes)
Symmetry-distinct sites (fractional):
Er (0.0000, 0.0000, 0.0000) x3  2 Th 3.30, 6 Er 3.58
Th (0.0000, 0.0000, 0.1064) x6  3 Ni 2.79
Ni (0.0000, 0.0000, 0.5000) x3  6 Th 2.79

Properties
ΔE to the lowest computed polymorph: 392 meV per atom
Crystal system: trigonal
Formation energy: 167.2 meV per atom
Total magnetic moment: 0.00 Bohr magnetons per cell

***

Number 1: electronic total energy -8.235 eV per atom, volume 52 Å³/cell. Number 2: electronic total energy -6.341 eV per atom, volume 140 Å³/cell. Number 3: electronic total energy -4.180 eV per atom, volume 86 Å³/cell. Number 4: electronic total energy -6.129 eV per atom, volume 344 Å³/cell.